No. 1
Density functional theory data (PBE) for a relaxed GaSn2Ge crystal.

Calculated values
The value obtained for the density of states at the Fermi level is 0.66 states/eV/atom. The value obtained for the energy above the most stable polymorph in this dataset is 0.060 eV/atom. The energy of formation from the pure elements is 0.140 eV per atom.

a = 4.715 Å, b = 4.715 Å, c = 4.199 Å
α = 90.00°, β = 90.00°, γ = 90.00°
Space group P4/mmm (No. 123)
One atom of each set of equivalent atoms:
Ga 0.000 0.000 0.000 (multiplicity 1)
Sn 0.000 0.500 0.500 (multiplicity 2)
Ge 0.500 0.500 0.000 (multiplicity 1)

***

No. 2
Density functional theory data (PBE) for a relaxed GaSnGe3 crystal.

Calculated values
The value obtained for the density of states at the Fermi level is 0.86 states/eV/atom. The value obtained for the energy above the most stable polymorph in this dataset is 0.339 eV/atom. The energy of formation from the pure elements is 0.882 eV per atom.

a = 5.325 Å, b = 5.325 Å, c = 5.325 Å
α = 90.00°, β = 90.00°, γ = 90.00°
Space group Pm-3m (No. 221)
One atom of each set of equivalent atoms:
Ga 0.000 0.000 0.000 (multiplicity 1)
Sn 0.500 0.500 0.500 (multiplicity 1)
Ge 0.000 0.500 0.500 (multiplicity 3)

***

No. 3
Density functional theory data (PBE) for a relaxed GaSnGe2 crystal.

Calculated values
The value obtained for the density of states at the Fermi level is 0.52 states/eV/atom. The value obtained for the energy above the most stable polymorph in this dataset is 0.146 eV/atom. The energy of formation from the pure elements is 0.227 eV per atom.

a = 6.981 Å, b = 6.981 Å, c = 6.981 Å
α = 90.00°, β = 90.00°, γ = 90.00°
Space group Fm-3m (No. 225)
One atom of each set of equivalent atoms:
Ga 0.000 0.000 0.000 (multiplicity 4)
Sn 0.000 0.000 0.500 (multiplicity 4)
Ge 0.250 0.250 0.250 (multiplicity 8)

***

No. 4
Density functional theory data (PBE) for a relaxed GaSn2Ge2 crystal.

Calculated values
The value obtained for the density of states at the Fermi level is 0.48 states/eV/atom. The value obtained for the energy above the most stable polymorph in this dataset is 0.000 eV/atom. The energy of formation from the pure elements is 0.186 eV per atom.

a = 7.723 Å, b = 7.723 Å, c = 3.954 Å
α = 90.00°, β = 90.00°, γ = 90.00°
Space group P4/mbm (No. 127)
One atom of each set of equivalent atoms:
Ga 0.000 0.000 0.000 (multiplicity 2)
Sn 0.162 0.338 0.500 (multiplicity 4)
Ge 0.131 0.631 0.000 (multiplicity 4)

***

No. 5
Density functional theory data (PBE) for a relaxed GaSnGe2 crystal.

Calculated values
The value obtained for the density of states at the Fermi level is 0.48 states/eV/atom. The value obtained for the energy above the most stable polymorph in this dataset is 0.131 eV/atom. The energy of formation from the pure elements is 0.212 eV per atom.

a = 4.605 Å, b = 4.605 Å, c = 4.016 Å
α = 90.00°, β = 90.00°, γ = 90.00°
Space group P4/mmm (No. 123)
One atom of each set of equivalent atoms:
Ga 0.000 0.000 0.000 (multiplicity 1)
Sn 0.500 0.500 0.000 (multiplicity 1)
Ge 0.000 0.500 0.500 (multiplicity 2)

***

No. 6
Density functional theory data (PBE) for a relaxed GaSn2Ge2 crystal.

Calculated values
The value obtained for the density of states at the Fermi level is 0.44 states/eV/atom. The value obtained for the energy above the most stable polymorph in this dataset is 0.038 eV/atom. The energy of formation from the pure elements is 0.224 eV per atom.

a = 8.247 Å, b = 8.247 Å, c = 3.531 Å
α = 90.00°, β = 90.00°, γ = 90.00°
Space group P4/mbm (No. 127)
One atom of each set of equivalent atoms:
Ga 0.000 0.000 0.000 (multiplicity 2)
Sn 0.151 0.349 0.000 (multiplicity 4)
Ge 0.142 0.642 0.500 (multiplicity 4)

***

No. 7
Density functional theory data (PBE) for a relaxed GaSnGe3 crystal.

Calculated values
The value obtained for the density of states at the Fermi level is 0.52 states/eV/atom. The value obtained for the energy above the most stable polymorph in this dataset is 0.000 eV/atom. The energy of formation from the pure elements is 0.543 eV per atom.

a = 4.964 Å, b = 4.964 Å, c = 4.964 Å
α = 90.00°, β = 90.00°, γ = 90.00°
Space group Pm-3m (No. 221)
One atom of each set of equivalent atoms:
Ga 0.000 0.000 0.000 (multiplicity 1)
Sn 0.500 0.500 0.500 (multiplicity 1)
Ge 0.000 0.000 0.500 (multiplicity 3)

***

No. 8
Density functional theory data (PBE) for a relaxed GaSn2Ge crystal.

Calculated values
The value obtained for the density of states at the Fermi level is 0.51 states/eV/atom. The value obtained for the energy above the most stable polymorph in this dataset is 0.000 eV/atom. The energy of formation from the pure elements is 0.081 eV per atom.

a = 6.275 Å, b = 6.275 Å, c = 12.227 Å
α = 90.00°, β = 90.00°, γ = 90.00°
Space group I-42d (No. 122)
One atom of each set of equivalent atoms:
Ga 0.000 0.000 0.000 (multiplicity 4)
Sn 0.249 0.250 0.625 (multiplicity 8)
Ge 0.000 0.000 0.500 (multiplicity 4)

***

No. 9
Density functional theory data (PBE) for a relaxed Ga3SnGe3 crystal.

Calculated values
The value obtained for the density of states at the Fermi level is 0.49 states/eV/atom. The energy of formation from the pure elements is 0.326 eV per atom.

a = 7.073 Å, b = 7.073 Å, c = 7.073 Å
α = 90.00°, β = 90.00°, γ = 90.00°
Space group Pm-3n (No. 223)
One atom of each set of equivalent atoms:
Ga 0.000 0.250 0.500 (multiplicity 6)
Sn 0.000 0.000 0.000 (multiplicity 2)
Ge 0.000 0.500 0.250 (multiplicity 6)

***

No. 10
Density functional theory data (PBE) for a relaxed GaSnGe2 crystal.

Calculated values
The value obtained for the density of states at the Fermi level is 0.42 states/eV/atom. The value obtained for the energy above the most stable polymorph in this dataset is 0.117 eV/atom. The energy of formation from the pure elements is 0.198 eV per atom.

a = 3.395 Å, b = 3.395 Å, c = 7.356 Å
α = 90.00°, β = 90.00°, γ = 90.00°
Space group P4/mmm (No. 123)
One atom of each set of equivalent atoms:
Ga 0.000 0.000 0.000 (multiplicity 1)
Sn 0.000 0.000 0.500 (multiplicity 1)
Ge 0.500 0.500 0.214 (multiplicity 2)

***

No. 11
Density functional theory data (PBE) for a relaxed Ga3SnGe crystal.

Calculated values
The value obtained for the density of states at the Fermi level is 1.29 states/eV/atom. The value obtained for the energy above the most stable polymorph in this dataset is 0.365 eV/atom. The energy of formation from the pure elements is 0.730 eV per atom.

a = 5.260 Å, b = 5.260 Å, c = 5.260 Å
α = 90.00°, β = 90.00°, γ = 90.00°
Space group Pm-3m (No. 221)
One atom of each set of equivalent atoms:
Ga 0.000 0.000 0.500 (multiplicity 3)
Sn 0.000 0.000 0.000 (multiplicity 1)
Ge 0.500 0.500 0.500 (multiplicity 1)

***

No. 12
Density functional theory data (PBE) for a relaxed GaSn2Ge crystal.

Calculated values
The value obtained for the density of states at the Fermi level is 0.61 states/eV/atom. The value obtained for the energy above the most stable polymorph in this dataset is 0.096 eV/atom. The energy of formation from the pure elements is 0.177 eV per atom.

a = 3.2019 Å, b = 3.2019 Å, c = 32.7148 Å
α = 90.00°, β = 90.00°, γ = 120.00°
Space group R-3m (No. 166, hexagonal axes)
One atom of each set of equivalent atoms:
Ga 0.0000 0.0000 0.0000 (multiplicity 3)
Sn 0.0000 0.0000 0.4115 (multiplicity 6)
Ge 0.0000 0.0000 0.5000 (multiplicity 3)

***

No. 13
Density functional theory data (PBE) for a relaxed GaSnGe2 crystal.

Calculated values
The value obtained for the density of states at the Fermi level is 0.65 states/eV/atom. The value obtained for the energy above the most stable polymorph in this dataset is 0.360 eV/atom. The energy of formation from the pure elements is 0.441 eV per atom.

a = 4.1349 Å, b = 4.1349 Å, c = 23.4786 Å
α = 90.00°, β = 90.00°, γ = 120.00°
Space group R-3m (No. 166, hexagonal axes)
One atom of each set of equivalent atoms:
Ga 0.0000 0.0000 0.0000 (multiplicity 3)
Sn 0.0000 0.0000 0.5000 (multiplicity 3)
Ge 0.0000 0.0000 0.1053 (multiplicity 6)

***

No. 14
Density functional theory data (PBE) for a relaxed GaSnGe2 crystal.

Calculated values
The value obtained for the density of states at the Fermi level is 0.52 states/eV/atom. The value obtained for the energy above the most stable polymorph in this dataset is 0.000 eV/atom. The energy of formation from the pure elements is 0.081 eV per atom.

a = 5.898 Å, b = 5.898 Å, c = 12.337 Å
α = 90.00°, β = 90.00°, γ = 90.00°
Space group I-42d (No. 122)
One atom of each set of equivalent atoms:
Ga 0.000 0.000 0.000 (multiplicity 4)
Sn 0.000 0.000 0.500 (multiplicity 4)
Ge 0.223 0.250 0.125 (multiplicity 8)

***

No. 15
Density functional theory data (PBE) for a relaxed GaSn2Ge2 crystal.

Calculated values
The value obtained for the density of states at the Fermi level is 0.57 states/eV/atom. The value obtained for the energy above the most stable polymorph in this dataset is 0.000 eV/atom. The energy of formation from the pure elements is 0.186 eV per atom.

a = 3.733 Å, b = 3.733 Å, c = 16.967 Å
α = 90.00°, β = 90.00°, γ = 90.00°
Space group I4/mmm (No. 139)
One atom of each set of equivalent atoms:
Ga 0.000 0.000 0.000 (multiplicity 2)
Sn 0.000 0.000 0.401 (multiplicity 4)
Ge 0.000 0.500 0.250 (multiplicity 4)

***

No. 16
Density functional theory data (PBE) for a relaxed GaSnGe2 crystal.

Calculated values
The value obtained for the density of states at the Fermi level is 0.41 states/eV/atom. The value obtained for the energy above the most stable polymorph in this dataset is 0.081 eV/atom. The energy of formation from the pure elements is 0.162 eV per atom.

a = 4.1467 Å, b = 4.1467 Å, c = 18.2405 Å
α = 90.00°, β = 90.00°, γ = 120.00°
Space group R3m (No. 160, hexagonal axes)
One atom of each set of equivalent atoms:
Ga 0.0000 0.0000 0.0000 (multiplicity 3)
Sn 0.0000 0.0000 0.1704 (multiplicity 3)
Ge 0.0000 0.0000 0.4106 (multiplicity 3)
Ge 0.0000 0.0000 0.5983 (multiplicity 3)

***

No. 17
Density functional theory data (PBE) for a relaxed GaSn2Ge crystal.

Calculated values
The value obtained for the density of states at the Fermi level is 0.40 states/eV/atom. The value obtained for the energy above the most stable polymorph in this dataset is 0.041 eV/atom. The energy of formation from the pure elements is 0.121 eV per atom.

a = 4.3095 Å, b = 4.3095 Å, c = 18.9183 Å
α = 90.00°, β = 90.00°, γ = 120.00°
Space group R3m (No. 160, hexagonal axes)
One atom of each set of equivalent atoms:
Ga 0.0000 0.0000 0.0000 (multiplicity 3)
Sn 0.0000 0.0000 0.2467 (multiplicity 3)
Sn 0.0000 0.0000 0.4175 (multiplicity 3)
Ge 0.0000 0.0000 0.8328 (multiplicity 3)

***

No. 18
Density functional theory data (PBE) for a relaxed GaSn2Ge2 crystal.

Calculated values
The value obtained for the density of states at the Fermi level is 0.41 states/eV/atom. The value obtained for the energy above the most stable polymorph in this dataset is 0.021 eV/atom. The energy of formation from the pure elements is 0.207 eV per atom.

a = 5.225 Å, b = 5.225 Å, c = 9.313 Å
α = 90.00°, β = 90.00°, γ = 90.00°
Space group I4/mmm (No. 139)
One atom of each set of equivalent atoms:
Ga 0.000 0.000 0.000 (multiplicity 2)
Sn 0.000 0.500 0.250 (multiplicity 4)
Ge 0.000 0.000 0.366 (multiplicity 4)

***

No. 19
Density functional theory data (PBE) for a relaxed ThGaSnGe crystal.

Calculated values
The value obtained for the density of states at the Fermi level is 0.64 states/eV/atom. The energy of formation from the pure elements is -0.469 eV per atom.

a = 4.317 Å, b = 4.560 Å, c = 4.723 Å
α = 90.00°, β = 90.00°, γ = 90.00°
Space group Pmmm (No. 47)
One atom of each set of equivalent atoms:
Th 0.000 0.000 0.000 (multiplicity 1)
Ga 0.500 0.000 0.500 (multiplicity 1)
Sn 0.000 0.500 0.500 (multiplicity 1)
Ge 0.500 0.500 0.000 (multiplicity 1)

***

No. 20
Density functional theory data (PBE) for a relaxed UGaSnGe crystal.

Calculated values
The value obtained for the density of states at the Fermi level is 1.80 states/eV/atom. The energy of formation from the pure elements is -0.136 eV per atom.

a = 4.121 Å, b = 4.121 Å, c = 10.073 Å
α = 90.00°, β = 90.00°, γ = 90.00°
Space group I-4m2 (No. 119)
One atom of each set of equivalent atoms:
U 0.000 0.000 0.000 (multiplicity 2)
Ga 0.000 0.500 0.750 (multiplicity 2)
Sn 0.000 0.500 0.250 (multiplicity 2)
Ge 0.000 0.000 0.500 (multiplicity 2)

***

| no. | V (Å³/atom) |
| --- | --- |
| 1 | 23.33 |
| 2 | 30.20 |
| 3 | 21.26 |
| 4 | 23.58 |
| 5 | 21.29 |
| 6 | 24.02 |
| 7 | 24.47 |
| 8 | 30.09 |
| 9 | 25.28 |
| 10 | 21.20 |
| 11 | 29.10 |
| 12 | 24.21 |
| 13 | 28.97 |
| 14 | 26.83 |
| 15 | 23.64 |
| 16 | 22.64 |
| 17 | 25.36 |
| 18 | 25.42 |
| 19 | 23.24 |
| 20 | 21.38 |